Record 1
Here is MgAl9Rh3 after structural relaxation from the Alexandria database. Energies are from PBE.

a b c (Å): 5.402 12.390 6.744
angles (deg): 90.00 113.35 90.00
Space group C2/m (No. 12)
Unique sites:
Mg 0.000 0.000 0.000 [2 per cell]
Al 0.000 0.000 0.500 [2 per cell]
Al 0.101 0.387 0.217 [8 per cell]
Al 0.174 0.175 0.335 [8 per cell]
Rh 0.000 0.500 0.500 [2 per cell]
Rh 0.250 0.250 0.000 [4 per cell]

Results
Raw total energy ... -4.9226 eV per atom
Energy relative to the elements ... -512.5 meV/atom

=====

Record 2
Here is Mg2ReTcN4 after structural relaxation from the Alexandria database. Energies are from PBE.

a b c (Å): 6.753 5.618 5.383
angles (deg): 90.00 90.00 90.00
Space group Pmn2_1 (No. 31)
Unique sites:
Mg 0.238 0.168 0.000 [4 per cell]
Re 0.000 0.650 0.017 [2 per cell]
Tc 0.000 0.343 0.458 [2 per cell]
N 0.000 0.354 0.829 [2 per cell]
N 0.000 0.685 0.370 [2 per cell]
N 0.235 0.803 0.894 [4 per cell]

Results
Raw total energy ... -7.6507 eV per atom
Raw formation energy ... -0.238 eV per atom

=====

Record 3
Here is Re2SiPt after structural relaxation from the Alexandria database. Energies are from PBE.

a b c (Å): 4.648 4.849 5.470
angles (deg): 88.95 82.60 79.10
Space group P1 (No. 1)
Unique sites:
Re 0.000 0.000 0.000 [1 per cell]
Re 0.091 0.166 0.532 [1 per cell]
Re 0.489 0.831 0.183 [1 per cell]
Re 0.608 0.306 0.337 [1 per cell]
Si 0.042 0.513 0.149 [1 per cell]
Si 0.200 0.653 0.592 [1 per cell]
Pt 0.458 0.314 0.863 [1 per cell]
Pt 0.677 0.794 0.658 [1 per cell]

Results
Raw total energy ... -9.2463 eV per atom
Raw formation energy ... -0.156 eV per atom

=====

Record 4
Here is CaPr2Cd4 after structural relaxation from the Alexandria database. Energies are from PBE.

a b c (Å): 5.3582 5.3582 25.9811
angles (deg): 90.00 90.00 120.00
Space group R-3m (No. 166, hexagonal axes)
Unique sites:
Ca 0.0000 0.0000 0.0000 [3 per cell]
Pr 0.0000 0.0000 0.2503 [6 per cell]
Cd 0.0000 0.0000 0.1261 [6 per cell]
Cd 0.0000 0.0000 0.3800 [6 per cell]

Results
Raw total energy ... -2.3305 eV per atom
Offset from the most stable computed form ... 0.000 eV/atom
Energy relative to the elements ... -156.1 meV/atom

=====

Record 5
Here is AgSnTe2I after structural relaxation from the Alexandria database. Energies are from PBE.

a b c (Å): 5.739 5.739 6.007
angles (deg): 90.00 90.00 90.00
Space group P4/mmm (No. 123)
Unique sites:
Ag 0.000 0.000 0.000 [1 per cell]
Sn 0.500 0.500 0.500 [1 per cell]
Te 0.000 0.500 0.500 [2 per cell]
I 0.500 0.500 0.000 [1 per cell]

Results
Raw total energy ... -2.5036 eV per atom
Offset from the most stable computed form ... 0.144 eV/atom
Raw formation energy ... 0.434 eV per atom

=====

Record 6
Here is LaP2N after structural relaxation from the Alexandria database. Energies are from PBE.

a b c (Å): 6.389 6.389 7.072
angles (deg): 90.00 90.00 90.00
Space group I-42d (No. 122)
Unique sites:
La 0.000 0.000 0.000 [4 per cell]
P 0.116 0.250 0.625 [8 per cell]
N 0.000 0.000 0.500 [4 per cell]

Results
Raw total energy ... -6.0277 eV per atom
Raw formation energy ... -0.010 eV per atom

=====

Record 7
Here is CsRb3Re after structural relaxation from the Alexandria database. Energies are from PBE.

a b c (Å): 8.402 8.402 8.402
angles (deg): 90.00 90.00 90.00
Space group Pm-3m (No. 221)
Unique sites:
Cs 0.000 0.000 0.000 [1 per cell]
Rb 0.000 0.000 0.500 [3 per cell]
Re 0.500 0.500 0.500 [1 per cell]

Results
Raw total energy ... -1.4976 eV per atom
Offset from the most stable computed form ... 0.473 eV/atom
Energy relative to the elements ... 1743.3 meV/atom